# 1
The following is a DFT calculation (GGA-PBEsol) of a relaxed structure of Na2LiHg2.

- Crystal system: tetragonal

Lattice parameters (Å, degrees): 7.229 7.229 4.790 90.00 90.00 90.00
Space group P4/mbm (No. 127)
Symmetry-distinct sites (fractional):
Na 0.168 0.332 0.000
Li 0.000 0.000 0.500
Hg 0.141 0.641 0.500

# 2
The following is a DFT calculation (GGA-PBEsol) of a relaxed structure of NaLi2Hg2.

- Crystal system: tetragonal
- Energy relative to the lowest polymorph listed for this composition: 51 meV/atom

Lattice parameters (Å, degrees): 4.126 4.126 12.918 90.00 90.00 90.00
Space group I4/mmm (No. 139)
Symmetry-distinct sites (fractional):
Na 0.000 0.000 0.000
Li 0.000 0.500 0.250
Hg 0.000 0.000 0.389

# 3
The following is a DFT calculation (GGA-PBEsol) of a relaxed structure of Li3NbHg.

- Crystal system: cubic

Lattice parameters (Å, degrees): 4.722 4.722 4.722 90.00 90.00 90.00
Space group Pm-3m (No. 221)
Symmetry-distinct sites (fractional):
Li 0.000 0.000 0.500
Nb 0.500 0.500 0.500
Hg 0.000 0.000 0.000

Number 1: formation energy -1.02 eV per formula unit. Number 2: formation energy -1.24 eV per formula unit. Number 3: formation energy 4.06 eV per formula unit.